Entry from Alexandria via LeMat-Bulk: a relaxed structure of NaScSn (GGA-PBE).

Unit cell a=4.9350 b=4.3710 c=7.1759 alpha=90.00 beta=109.84 gamma=90.00
Closest atoms and distances in Å follow each position.
Space group Pm (No. 6)
Inequivalent atoms, fractional coordinates:
Na (0.0000, 0.0000, 0.0000) (multiplicity 1)  2 Na 3.12, 4 Sn 3.23-3.28, 6 Sc 3.29-3.31
Na (0.1624, 0.5000, 0.3293) (multiplicity 1)  2 Na 3.12, 4 Sc 3.19-3.36, 6 Sn 3.27-3.30
Sc (0.4954, 0.5000, 0.9925) (multiplicity 1)  4 Sn 2.99-3.11, 5 Na 3.29-3.35
Sc (0.8146, 0.5000, 0.6314) (multiplicity 1)  6 Sn 3.03-3.34, 4 Na 3.19-3.31
Sn (0.3494, 0.0000, 0.6894) (multiplicity 1)  6 Sc 2.99-3.34, 4 Na 3.23-3.27
Sn (0.6560, 0.0000, 0.3196) (multiplicity 1)  4 Sc 3.03-3.11, 6 Na 3.27-3.30

## Properties
As for the density of states at the Fermi level: 3.795 states/eV per cell. The calculation puts the calculated total energy at -4.09 eV per atom. The formation energy is -0.210 eV per atom. The calculation puts the spin magnetization at 0.00 μB per cell.

=====

Entry from Alexandria via LeMat-Bulk: a relaxed structure of Er2Ga4Os (GGA-PBE).

Unit cell a=4.6784 b=4.6784 c=14.5691 alpha=90.00 beta=90.00 gamma=90.00
Closest atoms and distances in Å follow each position.
Space group I4/mmm (No. 139)
Inequivalent atoms, fractional coordinates:
Er (0.0000, 0.0000, 0.1369) (multiplicity 4)  5 Ga 2.77-3.07
Ga (0.0000, 0.0000, 0.3273) (multiplicity 4)  1 Os 2.52, 1 Er 2.77
Ga (0.0000, 0.5000, 0.0000) (multiplicity 4)  2 Os 2.34
Os (0.0000, 0.0000, 0.5000) (multiplicity 2)  6 Ga 2.34-2.52

## Properties
As for the density of states at the Fermi level: 8.735 states/eV per cell. The calculation puts the calculated total energy at -4.78 eV per atom. The formation energy is -0.146 eV per atom. The calculation puts the spin magnetization at 0.00 μB per cell.

=====

Entry from Alexandria via LeMat-Bulk: a relaxed structure of AcEuCdNi (GGA-PBE).

Unit cell a=7.6472 b=7.6472 c=7.6472 alpha=90.00 beta=90.00 gamma=90.00
Closest atoms and distances in Å follow each position.
Space group F-43m (No. 216)
Inequivalent atoms, fractional coordinates:
Ac (0.0000, 0.0000, 0.0000) (multiplicity 4)  4 Cd 3.31, 4 Ni 3.31
Eu (0.0000, 0.0000, 0.5000) (multiplicity 4)  4 Cd 3.31, 4 Ni 3.31
Cd (0.2500, 0.2500, 0.2500) (multiplicity 4)  4 Ac 3.31, 4 Eu 3.31
Ni (0.2500, 0.2500, 0.7500) (multiplicity 4)  4 Ac 3.31, 4 Eu 3.31

## Properties
As for the density of states at the Fermi level: 43.318 states/eV per cell. The calculation puts the calculated total energy at -5.39 eV per atom. The formation energy is -0.122 eV per atom. The calculation puts the spin magnetization at 27.91 μB per cell.

=====

Entry from Alexandria via LeMat-Bulk: a relaxed structure of SiTe7 (GGA-PBE).

Unit cell a=9.5454 b=9.5454 c=9.5454 alpha=90.00 beta=90.00 gamma=90.00
Closest atoms and distances in Å follow each position.
Space group Fm-3m (No. 225)
Inequivalent atoms, fractional coordinates:
Si (0.0000, 0.0000, 0.0000) (multiplicity 4)  12 Te 3.37
Te (0.0000, 0.0000, 0.5000) (multiplicity 4)  12 Te 3.37
Te (0.0000, 0.2500, 0.2500) (multiplicity 24)  2 Si 3.37, 10 Te 3.37

## Properties
As for the density of states at the Fermi level: 25.219 states/eV per cell. The calculation puts the calculated total energy at -2.92 eV per atom. The calculation puts the spin magnetization at 0.00 μB per cell.

=====

Entry from Alexandria via LeMat-Bulk: a relaxed structure of LiTlNi2C (GGA-PBE).

Unit cell a=4.8860 b=4.8860 c=4.2552 alpha=90.00 beta=90.00 gamma=90.00
Closest atoms and distances in Å follow each position.
Space group P4/mmm (No. 123)
Inequivalent atoms, fractional coordinates:
Li (0.0000, 0.0000, 0.0000) (multiplicity 1)  8 Ni 3.24, 4 C 3.45
Tl (0.5000, 0.5000, 0.5000) (multiplicity 1)  2 C 2.13
Ni (0.0000, 0.5000, 0.5000) (multiplicity 2)  2 Tl 2.44
C (0.5000, 0.5000, 0.0000) (multiplicity 1)  2 Tl 2.13

## Properties
As for the density of states at the Fermi level: 7.014 states/eV per cell. The calculation puts the calculated total energy at -3.21 eV per atom. The formation energy is 1.804 eV per atom. The calculation puts the offset from the most stable computed form at 1.659 eV per atom. The calculation puts the spin magnetization at 0.40 μB per cell.

=====

Entry from Alexandria via LeMat-Bulk: a relaxed structure of CeTmAsSe (GGA-PBE).

Unit cell a=4.1252 b=4.1252 c=20.3964 alpha=90.00 beta=90.00 gamma=120.00
Closest atoms and distances in Å follow each position.
Space group R3m (No. 160, hexagonal axes)
Inequivalent atoms, fractional coordinates:
Ce (0.0000, 0.0000, 0.0000) (multiplicity 3)  3 As 2.95, 3 Se 3.02
Tm (0.0000, 0.0000, 0.5057) (multiplicity 3)  3 As 2.84, 3 Se 2.90
As (0.0000, 0.0000, 0.2483) (multiplicity 3)  3 Tm 2.84, 3 Ce 2.95
Se (0.0000, 0.0000, 0.7575) (multiplicity 3)  3 Tm 2.90, 3 Ce 3.02

## Properties
As for the density of states at the Fermi level: 19.310 states/eV per cell. The calculation puts the calculated total energy at -6.28 eV per atom. The calculation puts the spin magnetization at 3.14 μB per cell.

=====

Entry from Alexandria via LeMat-Bulk: a relaxed structure of SrTa2Mo (GGA-PBE).

Unit cell a=3.1987 b=3.1987 c=29.1228 alpha=90.00 beta=90.00 gamma=120.00
Closest atoms and distances in Å follow each position.
Space group R3m (No. 160, hexagonal axes)
Inequivalent atoms, fractional coordinates:
Sr (0.0000, 0.0000, 0.0000) (multiplicity 3)  6 Sr 3.20, 3 Mo 3.29, 3 Ta 3.47
Ta (0.0000, 0.0000, 0.5087) (multiplicity 3)  3 Mo 2.64, 3 Ta 2.85
Ta (0.0000, 0.0000, 0.7676) (multiplicity 3)  3 Ta 2.85
Mo (0.0000, 0.0000, 0.2399) (multiplicity 3)  3 Ta 2.64

## Properties
As for the density of states at the Fermi level: 19.175 states/eV per cell. The calculation puts the calculated total energy at -8.30 eV per atom. The formation energy is 0.755 eV per atom. The calculation puts the offset from the most stable computed form at 0.249 eV per atom. The calculation puts the spin magnetization at 0.00 μB per cell.

=====

Entry from Alexandria via LeMat-Bulk: a relaxed structure of Pr2MgPd (GGA-PBE).

Unit cell a=3.8221 b=3.8221 c=32.1123 alpha=90.00 beta=90.00 gamma=120.00
Closest atoms and distances in Å follow each position.
Space group R-3m (No. 166, hexagonal axes)
Inequivalent atoms, fractional coordinates:
Pr (0.0000, 0.0000, 0.1078) (multiplicity 6)  3 Pd 2.91
Mg (0.0000, 0.0000, 0.0000) (multiplicity 3)  2 Pr 3.46, 6 Mg 3.82
Pd (0.0000, 0.0000, 0.5000) (multiplicity 3)  6 Pr 2.91

## Properties
As for the density of states at the Fermi level: 12.896 states/eV per cell. The calculation puts the calculated total energy at -4.11 eV per atom. The formation energy is -0.019 eV per atom. The calculation puts the offset from the most stable computed form at 0.375 eV per atom. The calculation puts the spin magnetization at 0.00 μB per cell.

=====

Entry from Alexandria via LeMat-Bulk: a relaxed structure of Cs2Cd3Hg (GGA-PBE).

Unit cell a=10.3064 b=11.0666 c=18.1275 alpha=90.00 beta=90.00 gamma=90.00
Closest atoms and distances in Å follow each position.
Space group Fmmm (No. 69)
Inequivalent atoms, fractional coordinates:
Cs (0.0000, 0.2472, 0.0000) (multiplicity 8)  10 Cd 4.05-4.11, 2 Hg 4.09
Cs (0.2500, 0.2500, 0.2500) (multiplicity 8)  4 Hg 4.06, 8 Cd 4.07-4.11
Cd (0.0000, 0.0000, 0.3338) (multiplicity 8)  2 Cd 2.98, 1 Hg 3.01
Cd (0.2491, 0.0000, 0.4175) (multiplicity 16)  2 Cd 2.98-2.99, 1 Hg 3.01
Hg (0.0000, 0.0000, 0.1679) (multiplicity 8)  3 Cd 3.01

## Properties
As for the density of states at the Fermi level: 32.310 states/eV per cell. The calculation puts the calculated total energy at -0.88 eV per atom. The formation energy is -0.088 eV per atom. The calculation puts the spin magnetization at 0.00 μB per cell.

=====

Entry from Alexandria via LeMat-Bulk: a relaxed structure of RePt2Pb (GGA-PBE).

Unit cell a=2.9471 b=2.9471 c=28.8346 alpha=90.00 beta=90.00 gamma=120.00
Closest atoms and distances in Å follow each position.
Space group R3m (No. 160, hexagonal axes)
Inequivalent atoms, fractional coordinates:
Re (0.0000, 0.0000, 0.0000) (multiplicity 3)  3 Pt 2.65, 6 Re 2.95
Pt (0.0000, 0.0000, 0.4832) (multiplicity 3)  9 Pt 2.86-2.95, 3 Pb 3.13
Pt (0.0000, 0.0000, 0.7369) (multiplicity 3)  3 Re 2.65, 9 Pt 2.86-2.95
Pb (0.0000, 0.0000, 0.2411) (multiplicity 3)  6 Pb 2.95, 3 Pt 3.13, 3 Re 3.16

## Properties
As for the density of states at the Fermi level: 15.362 states/eV per cell. The calculation puts the calculated total energy at -6.62 eV per atom. The formation energy is 0.444 eV per atom. The calculation puts the spin magnetization at 0.00 μB per cell.

=====

Entry from Alexandria via LeMat-Bulk: a relaxed structure of Ba3In5Au6 (GGA-PBE).

Unit cell a=4.6882 b=15.0269 c=10.6845 alpha=90.00 beta=90.00 gamma=90.00
Closest atoms and distances in Å follow each position.
Space group Pmmn (No. 59, origin choice 2)
Inequivalent atoms, fractional coordinates:
Ba (0.2500, 0.0506, 0.2184) (multiplicity 4)  6 Au 3.42-3.76, 8 In 3.61-3.81
Ba (0.2500, 0.7500, 0.3147) (multiplicity 2)  8 Au 3.36-3.58, 6 In 3.68-3.74
In (0.2500, 0.0737, 0.5726) (multiplicity 4)  5 Au 2.86-3.05
In (0.2500, 0.6378, 0.0084) (multiplicity 4)  4 Au 2.89-2.96, 1 In 3.14
In (0.2500, 0.7500, 0.7610) (multiplicity 2)  6 Au 2.86-3.12, 2 In 3.14
Au (0.2500, 0.1154, 0.8367) (multiplicity 4)  3 In 2.89, 1 Au 3.07
Au (0.2500, 0.2500, 0.0532) (multiplicity 2)  6 In 2.96-3.07, 2 Au 3.07
Au (0.2500, 0.2500, 0.4317) (multiplicity 2)  4 In 3.05-3.12, 4 Au 3.07
Au (0.2500, 0.6178, 0.5683) (multiplicity 4)  4 In 2.86-2.88, 2 Au 3.07

## Properties
As for the density of states at the Fermi level: 14.785 states/eV per cell. The calculation puts the calculated total energy at -3.31 eV per atom. The formation energy is -0.518 eV per atom. The calculation puts the spin magnetization at 0.00 μB per cell.

=====

Entry from Alexandria via LeMat-Bulk: a relaxed structure of PmY2Pt (GGA-PBE).

Unit cell a=3.8424 b=3.8424 c=28.7140 alpha=90.00 beta=90.00 gamma=120.00
Closest atoms and distances in Å follow each position.
Space group R-3m (No. 166, hexagonal axes)
Inequivalent atoms, fractional coordinates:
Pm (0.0000, 0.0000, 0.0000) (multiplicity 3)  6 Y 3.76, 6 Pm 3.84
Y (0.0000, 0.0000, 0.2274) (multiplicity 6)  3 Pt 2.82
Pt (0.0000, 0.0000, 0.5000) (multiplicity 3)  6 Y 2.82

## Properties
As for the density of states at the Fermi level: 16.307 states/eV per cell. The calculation puts the calculated total energy at -6.42 eV per atom. The formation energy is -0.491 eV per atom. The calculation puts the offset from the most stable computed form at 0.197 eV per atom. The calculation puts the spin magnetization at 0.00 μB per cell.